(1)
Ca3ReNi: optimized geometry, GGA-PBE.

extended XYZ file:
```
5
Lattice="-0.589 1.216 -5.057 4.157 -2.949 -1.193 -3.126 -4.151 -0.634" Properties=species:S:1:pos:R:3 pbc="T T T"
Ca -1.563 -2.075 -0.317
Re 0.221 -2.942 -3.442
Ni 0.000 0.000 0.000
Ca 2.079 -1.474 -0.596
Ca -0.294 0.608 -2.529
```

As for the energy relative to the lowest polymorph listed for this composition: 0.0 meV per atom. As for the space group: Pm-3m. For the energy of formation, the calculation gives 0.921 eV/atom.

=====

(2)
Ca4ReNi: optimized geometry, GGA-PBE.

extended XYZ file:
```
6
Lattice="0.000 4.290 4.290 4.290 0.000 4.290 4.290 4.290 0.000" Properties=species:S:1:pos:R:3 pbc="T T T"
Ca 3.210 5.369 5.369
Ca 5.369 3.210 5.369
Ca 3.210 3.210 3.210
Ca 5.369 5.369 3.210
Re 0.000 0.000 0.000
Ni 6.434 6.434 6.434
```

As for the space group: F-43m. For the energy of formation, the calculation gives 1.343 eV/atom.

=====

(3)
Ca2ReNi: optimized geometry, GGA-PBE.

extended XYZ file:
```
4
Lattice="-1.091 -7.937 -5.344 0.061 -9.215 -2.797 -2.955 -8.658 -3.008" Properties=species:S:1:pos:R:3 pbc="T T T"
Ca -3.966 -25.688 -11.097
Re -2.988 -19.357 -8.362
Ni -0.996 -6.452 -2.787
Ca -2.011 -13.027 -5.627
```

As for the energy relative to the lowest polymorph listed for this composition: 380.0 meV per atom. As for the space group: R-3m. For the energy of formation, the calculation gives 0.766 eV/atom.

=====

DOS at the Fermi energy (computed, states/eV per atom): 1.153 1.632 1.365